[1]
Here is crystalline YPbSe2 at its relaxed geometry from the Alexandria database. Energies are from PBE. Values from VASP.

```
&SYSTEM
  ibrav = 0, nat = 4, ntyp = 3
/
ATOMIC_SPECIES
Pb 207.20 Pb.upf
Se 78.96 Se.upf
Y 88.91 Y.upf
CELL_PARAMETERS angstrom
-2.9466 -0.8141 4.7850
2.9445 -4.6145 1.5093
1.0069 5.5433 -0.7070
ATOMIC_POSITIONS crystal
Pb 0.2500 0.7500 0.5000
Se 0.9835 0.9835 0.0000
Se 0.5165 0.5165 0.0000
Y 0.7500 0.2500 0.5000
```

- space-group type = Immm
- ΔE_f (raw) (meV per atom) = -908

=====

[2]
Here is crystalline ScTlCr2Bi at its relaxed geometry from the Alexandria database. Energies are from PBE. Values from VASP.

```
&SYSTEM
  ibrav = 0, nat = 5, ntyp = 4
/
ATOMIC_SPECIES
Sc 44.96 Sc.upf
Cr 52.00 Cr.upf
Tl 204.38 Tl.upf
Bi 208.98 Bi.upf
CELL_PARAMETERS angstrom
4.9651 0.0000 0.0000
0.0000 5.4456 0.0000
0.0000 0.0000 4.9651
ATOMIC_POSITIONS crystal
Sc 0.0000 0.0000 0.0000
Cr 0.0000 0.0000 0.5000
Cr 0.5000 0.0000 0.0000
Tl 0.0000 0.5000 0.0000
Bi 0.5000 0.5000 0.5000
```

- space-group type = P4/mmm
- energy relative to the elements (eV per atom) = 1.205

=====

[3]
Here is crystalline ZnReP2 at its relaxed geometry from the Alexandria database. Energies are from PBE. Values from VASP.

```
&SYSTEM
  ibrav = 0, nat = 4, ntyp = 3
/
ATOMIC_SPECIES
P 30.97 P.upf
Re 186.21 Re.upf
Zn 65.41 Zn.upf
CELL_PARAMETERS angstrom
2.8121 -0.0091 0.0000
-1.1521 2.5653 0.0000
0.0000 0.0000 9.5599
ATOMIC_POSITIONS crystal
P 0.0000 0.0000 0.9441
P 0.5000 0.5000 0.3177
Re 0.0000 0.0000 0.5013
Zn 0.5000 0.5000 0.7369
```

- space-group type = Cmm2
- energy relative to the elements (eV per atom) = 0.397

=====

[4]
Here is crystalline Th2BeCo6 at its relaxed geometry from the Alexandria database. Energies are from PBE. Values from VASP.

```
&SYSTEM
  ibrav = 0, nat = 9, ntyp = 3
/
ATOMIC_SPECIES
Th 232.04 Th.upf
Be 9.01 Be.upf
Co 58.93 Co.upf
CELL_PARAMETERS angstrom
5.6044 -0.0289 -0.0167
0.0261 5.1961 0.0050
0.0261 2.5931 4.5028
ATOMIC_POSITIONS crystal
Th 0.8180 0.6664 0.6664
Th 0.1820 0.3336 0.3336
Be 0.0000 0.0000 0.0000
Co 0.3236 0.3379 0.8315
Co 0.3247 0.8319 0.8319
Co 0.3236 0.8315 0.3379
Co 0.6764 0.6621 0.1685
Co 0.6753 0.1681 0.1681
Co 0.6764 0.1685 0.6621
```

- space-group type = C2/m
- energy relative to the elements (eV per atom) = -0.115

=====

[5]
Here is crystalline Pm3Ga9Rh2 at its relaxed geometry from the Alexandria database. Energies are from PBE. Values from VASP.

```
&SYSTEM
  ibrav = 0, nat = 14, ntyp = 3
/
ATOMIC_SPECIES
Pm 145.00 Pm.upf
Ga 69.72 Ga.upf
Rh 102.91 Rh.upf
CELL_PARAMETERS angstrom
-4.2008 -0.1376 0.9355
-0.6248 -5.2261 6.3350
-0.7978 4.3252 6.9635
ATOMIC_POSITIONS crystal
Pm 0.0000 0.0000 0.0000
Pm 0.6994 0.3006 0.3006
Pm 0.3006 0.6994 0.6994
Ga 0.0000 0.5000 0.5000
Ga 0.6553 0.9822 0.7073
Ga 0.3447 0.0178 0.2927
Ga 0.6553 0.7073 0.9822
Ga 0.3447 0.2927 0.0178
Ga 0.8673 0.8518 0.4137
Ga 0.1327 0.1482 0.5863
Ga 0.8673 0.4137 0.8518
Ga 0.1327 0.5863 0.1482
Rh 0.5000 0.3183 0.6817
Rh 0.5000 0.6817 0.3183
```

- space-group type = Immm
- energy relative to the elements (eV per atom) = -0.679

=====

Number 1: spin magnetization 0.00 μB per atom, total DFT energy (no corrections) -5.194 eV per atom. Number 2: spin magnetization 1.46 μB per atom, total DFT energy (no corrections) -5.160 eV per atom. Number 3: spin magnetization 0.00 μB per atom, total DFT energy (no corrections) -5.739 eV per atom. Number 4: spin magnetization 0.46 μB per atom, total DFT energy (no corrections) -6.915 eV per atom. Number 5: spin magnetization 0.00 μB per atom, total DFT energy (no corrections) -4.693 eV per atom.